(1)
A plane-wave DFT calculation with PBE-GGA was carried out for a relaxed structure of AcTbAu2.

It has space group R3m (No. 160, hexagonal axes), with a = 4.2517 Å, b = 4.2517 Å, c = 22.9279 Å, α = 90.00°, β = 90.00° and γ = 120.00°. The distinct sites, in fractional coordinates, are Ac at (0.0000, 0.0000, 0.0000), Tb at (0.0000, 0.0000, 0.1709), Au at (0.0000, 0.0000, 0.4279) and Au at (0.0000, 0.0000, 0.5767).

For the energy above the most stable polymorph in this dataset, the calculation gives 112 meV/atom. For the formation energy, the calculation gives -0.71 eV/atom. The value obtained for the density of states at the Fermi level is 10.7 states/eV per cell. The uncorrected energy comes out at -54.46 eV per cell.

(2)
A plane-wave DFT calculation with PBE-GGA was carried out for a relaxed structure of AcTbAu2.

It has space group R-3m (No. 166, hexagonal axes), with a = 4.4598 Å, b = 4.4598 Å, c = 20.8724 Å, α = 90.00°, β = 90.00° and γ = 120.00°. The distinct sites, in fractional coordinates, are Ac at (0.0000, 0.0000, 0.0000), Tb at (0.0000, 0.0000, 0.5000) and Au at (0.0000, 0.0000, 0.2387).

For the energy above the most stable polymorph in this dataset, the calculation gives 101 meV/atom. For the formation energy, the calculation gives -0.73 eV/atom. The value obtained for the density of states at the Fermi level is 12.3 states/eV per cell. The uncorrected energy comes out at -54.59 eV per cell.

(3)
A plane-wave DFT calculation with PBE-GGA was carried out for a relaxed structure of AcTbAu4.

It has space group F-43m (No. 216), with a = 8.217 Å, b = 8.217 Å, c = 8.217 Å, α = 90.00°, β = 90.00° and γ = 90.00°. The distinct sites, in fractional coordinates, are Ac at (0.000, 0.000, 0.000), Tb at (0.250, 0.250, 0.250) and Au at (0.124, 0.124, 0.624).

For the energy above the most stable polymorph in this dataset, the calculation gives 262 meV/atom. For the formation energy, the calculation gives -0.51 eV/atom. The value obtained for the density of states at the Fermi level is 22.2 states/eV per cell. The uncorrected energy comes out at -99.66 eV per cell.

(4)
A plane-wave DFT calculation with PBE-GGA was carried out for a relaxed structure of AcTb2Au.

It has space group R3m (No. 160, hexagonal axes), with a = 3.9366 Å, b = 3.9366 Å, c = 29.8979 Å, α = 90.00°, β = 90.00° and γ = 120.00°. The distinct sites, in fractional coordinates, are Ac at (0.0000, 0.0000, 0.0000), Tb at (0.0000, 0.0000, 0.2316), Tb at (0.0000, 0.0000, 0.4394) and Au at (0.0000, 0.0000, 0.8361).

For the energy above the most stable polymorph in this dataset, the calculation gives 94 meV/atom. For the formation energy, the calculation gives -0.28 eV/atom. The value obtained for the density of states at the Fermi level is 14.5 states/eV per cell. The uncorrected energy comes out at -53.34 eV per cell.

(5)
A plane-wave DFT calculation with PBE-GGA was carried out for a relaxed structure of AcTbAu.

It has space group I4mm (No. 107), with a = 3.771 Å, b = 3.771 Å, c = 13.131 Å, α = 90.00°, β = 90.00° and γ = 90.00°. The distinct sites, in fractional coordinates, are Ac at (0.000, 0.000, 0.000), Tb at (0.000, 0.000, 0.281) and Au at (0.000, 0.000, 0.672).

For the energy above the most stable polymorph in this dataset, the calculation gives 81 meV/atom. For the formation energy, the calculation gives -0.50 eV/atom. The value obtained for the density of states at the Fermi level is 7.7 states/eV per cell. The uncorrected energy comes out at -27.01 eV per cell.

(6)
A plane-wave DFT calculation with PBE-GGA was carried out for a relaxed structure of Ac5Tb3Au12.

It has space group Ia-3d (No. 230), with a = 17.472 Å, b = 17.472 Å, c = 17.472 Å, α = 90.00°, β = 90.00° and γ = 90.00°. The distinct sites, in fractional coordinates, are Ac at (0.000, 0.000, 0.000), Ac at (0.000, 0.250, 0.375), Tb at (0.000, 0.250, 0.125) and Au at (0.000, 0.080, 0.157).

For the formation energy, the calculation gives -0.50 eV/atom. The value obtained for the density of states at the Fermi level is 134.8 states/eV per cell. The uncorrected energy comes out at -670.44 eV per cell.

(7)
A plane-wave DFT calculation with PBE-GGA was carried out for a relaxed structure of AcTbAu.

It has space group Amm2 (No. 38), with a = 5.131 Å, b = 14.046 Å, c = 7.739 Å, α = 90.00°, β = 90.00° and γ = 90.00°. The distinct sites, in fractional coordinates, are Ac at (0.000, 0.000, 0.000), Ac at (0.000, 0.200, 0.402), Tb at (0.500, 0.000, 0.346), Tb at (0.500, 0.129, 0.741), Au at (0.000, 0.000, 0.590) and Au at (0.500, 0.169, 0.116).

For the energy above the most stable polymorph in this dataset, the calculation gives 41 meV/atom. For the formation energy, the calculation gives -0.54 eV/atom. The value obtained for the density of states at the Fermi level is 17.7 states/eV per cell. The uncorrected energy comes out at -81.75 eV per cell.

(8)
A plane-wave DFT calculation with PBE-GGA was carried out for a relaxed structure of AcTb2Au.

It has space group R-3m (No. 166, hexagonal axes), with a = 3.9129 Å, b = 3.9129 Å, c = 30.1783 Å, α = 90.00°, β = 90.00° and γ = 120.00°. The distinct sites, in fractional coordinates, are Ac at (0.0000, 0.0000, 0.0000), Tb at (0.0000, 0.0000, 0.2295) and Au at (0.0000, 0.0000, 0.5000).

For the energy above the most stable polymorph in this dataset, the calculation gives 96 meV/atom. For the formation energy, the calculation gives -0.28 eV/atom. The value obtained for the density of states at the Fermi level is 15.9 states/eV per cell. The uncorrected energy comes out at -53.32 eV per cell.

(9)
A plane-wave DFT calculation with PBE-GGA was carried out for a relaxed structure of AcTbAu3.

It has space group Cmcm (No. 63), with a = 3.877 Å, b = 28.456 Å, c = 4.686 Å, α = 90.00°, β = 90.00° and γ = 90.00°. The distinct sites, in fractional coordinates, are Ac at (0.000, 0.075, 0.250), Tb at (0.000, 0.207, 0.750), Au at (0.000, 0.312, 0.750), Au at (0.000, 0.374, 0.250) and Au at (0.000, 0.473, 0.250).

For the formation energy, the calculation gives -0.85 eV/atom. The value obtained for the density of states at the Fermi level is 15.8 states/eV per cell. The uncorrected energy comes out at -91.21 eV per cell.

(10)
A plane-wave DFT calculation with PBE-GGA was carried out for a relaxed structure of AcTbAu2.

It has space group Fm-3m (No. 225), with a = 7.560 Å, b = 7.560 Å, c = 7.560 Å, α = 90.00°, β = 90.00° and γ = 90.00°. The distinct sites, in fractional coordinates, are Ac at (0.000, 0.000, 0.000), Tb at (0.000, 0.000, 0.500) and Au at (0.250, 0.250, 0.250).

For the energy above the most stable polymorph in this dataset, the calculation gives 78 meV/atom. For the formation energy, the calculation gives -0.75 eV/atom. The value obtained for the density of states at the Fermi level is 14.0 states/eV per cell. The uncorrected energy comes out at -73.15 eV per cell.

(11)
A plane-wave DFT calculation with PBE-GGA was carried out for a relaxed structure of AcTbAu.

It has space group P3m1 (No. 156), with a = 4.9452 Å, b = 4.9452 Å, c = 4.5767 Å, α = 90.00°, β = 90.00° and γ = 120.00°. The distinct sites, in fractional coordinates, are Ac at (0.0000, 0.0000, 0.0000), Tb at (0.3333, 0.6667, 0.4997) and Au at (0.6667, 0.3333, 0.5018).

For the energy above the most stable polymorph in this dataset, the calculation gives 168 meV/atom. For the formation energy, the calculation gives -0.41 eV/atom. The value obtained for the density of states at the Fermi level is 4.0 states/eV per cell. The uncorrected energy comes out at -13.24 eV per cell.

(12)
A plane-wave DFT calculation with PBE-GGA was carried out for a relaxed structure of AcTbAu2.

It has space group P2_1/m (No. 11), with a = 5.947 Å, b = 4.837 Å, c = 7.973 Å, α = 90.00°, β = 106.35° and γ = 90.00°. The distinct sites, in fractional coordinates, are Ac at (0.226, 0.250, 0.431), Tb at (0.227, 0.250, 0.939), Au at (0.315, 0.750, 0.179) and Au at (0.333, 0.750, 0.737).

For the energy above the most stable polymorph in this dataset, the calculation gives 0 meV/atom. For the formation energy, the calculation gives -0.83 eV/atom. The value obtained for the density of states at the Fermi level is 6.2 states/eV per cell. The uncorrected energy comes out at -37.20 eV per cell.

(13)
A plane-wave DFT calculation with PBE-GGA was carried out for a relaxed structure of Ac4TbAu5.

It has space group P4/mmm (No. 123), with a = 3.833 Å, b = 3.833 Å, c = 19.439 Å, α = 90.00°, β = 90.00° and γ = 90.00°. The distinct sites, in fractional coordinates, are Ac at (0.000, 0.000, 0.103), Ac at (0.000, 0.000, 0.308), Tb at (0.000, 0.000, 0.500), Au at (0.500, 0.500, 0.000), Au at (0.500, 0.500, 0.206) and Au at (0.500, 0.500, 0.418).

For the formation energy, the calculation gives -0.78 eV/atom. The value obtained for the density of states at the Fermi level is 6.1 states/eV per cell. The uncorrected energy comes out at -45.20 eV per cell.

(14)
A plane-wave DFT calculation with PBE-GGA was carried out for a relaxed structure of Ac2Tb3Au4.

It has space group P2_1/c (No. 14), with a = 7.944 Å, b = 7.852 Å, c = 8.677 Å, α = 90.00°, β = 110.69° and γ = 90.00°. The distinct sites, in fractional coordinates, are Ac at (0.195, 0.171, 0.090), Tb at (0.247, 0.650, 0.250), Tb at (0.500, 0.000, 0.500), Au at (0.099, 0.550, 0.880) and Au at (0.484, 0.636, 0.622).

For the formation energy, the calculation gives -0.75 eV/atom. The value obtained for the density of states at the Fermi level is 16.4 states/eV per cell. The uncorrected energy comes out at -83.99 eV per cell.

(15)
A plane-wave DFT calculation with PBE-GGA was carried out for a relaxed structure of Ac5TbAu6.

It has space group Immm (No. 71), with a = 5.464 Å, b = 7.684 Å, c = 16.488 Å, α = 90.00°, β = 90.00° and γ = 90.00°. The distinct sites, in fractional coordinates, are Ac at (0.000, 0.000, 0.000), Ac at (0.000, 0.000, 0.333), Ac at (0.000, 0.500, 0.334), Tb at (0.000, 0.500, 0.000), Au at (0.000, 0.227, 0.500) and Au at (0.000, 0.263, 0.158).

For the formation energy, the calculation gives -0.77 eV/atom. The value obtained for the density of states at the Fermi level is 13.1 states/eV per cell. The uncorrected energy comes out at -108.13 eV per cell.

(16)
A plane-wave DFT calculation with PBE-GGA was carried out for a relaxed structure of AcTbAu.

It has space group P4/nmm (No. 129, origin choice 2), with a = 5.017 Å, b = 5.017 Å, c = 7.567 Å, α = 90.00°, β = 90.00° and γ = 90.00°. The distinct sites, in fractional coordinates, are Ac at (0.250, 0.250, 0.121), Tb at (0.250, 0.750, 0.500) and Au at (0.250, 0.250, 0.711).

For the energy above the most stable polymorph in this dataset, the calculation gives 0 meV/atom. For the formation energy, the calculation gives -0.58 eV/atom. The value obtained for the density of states at the Fermi level is 5.7 states/eV per cell. The uncorrected energy comes out at -27.50 eV per cell.

(17)
A plane-wave DFT calculation with PBE-GGA was carried out for a relaxed structure of AcTb2Au.

It has space group P4/mmm (No. 123), with a = 3.705 Å, b = 3.705 Å, c = 8.878 Å, α = 90.00°, β = 90.00° and γ = 90.00°. The distinct sites, in fractional coordinates, are Ac at (0.000, 0.000, 0.000), Tb at (0.500, 0.500, 0.308) and Au at (0.000, 0.000, 0.500).

For the energy above the most stable polymorph in this dataset, the calculation gives 0 meV/atom. For the formation energy, the calculation gives -0.38 eV/atom. The value obtained for the density of states at the Fermi level is 5.0 states/eV per cell. The uncorrected energy comes out at -18.16 eV per cell.

(18)
A plane-wave DFT calculation with PBE-GGA was carried out for a relaxed structure of AcTbAu.

It has space group F-43m (No. 216), with a = 7.407 Å, b = 7.407 Å, c = 7.407 Å, α = 90.00°, β = 90.00° and γ = 90.00°. The distinct sites, in fractional coordinates, are Ac at (0.000, 0.000, 0.000), Tb at (0.000, 0.000, 0.500) and Au at (0.250, 0.250, 0.250).

For the energy above the most stable polymorph in this dataset, the calculation gives 233 meV/atom. For the formation energy, the calculation gives -0.34 eV/atom. The value obtained for the density of states at the Fermi level is 18.6 states/eV per cell. The uncorrected energy comes out at -52.20 eV per cell.

(19)
A plane-wave DFT calculation with PBE-GGA was carried out for a relaxed structure of AcTbAu.

It has space group C2/m (No. 12), with a = 8.465 Å, b = 4.900 Å, c = 10.371 Å, α = 90.00°, β = 105.80° and γ = 90.00°. The distinct sites, in fractional coordinates, are Ac at (0.120, 0.000, 0.359), Tb at (0.132, 0.500, 0.896) and Au at (0.233, 0.500, 0.197).

For the energy above the most stable polymorph in this dataset, the calculation gives 159 meV/atom. For the formation energy, the calculation gives -0.42 eV/atom. The value obtained for the density of states at the Fermi level is 12.7 states/eV per cell. The uncorrected energy comes out at -53.09 eV per cell.

(20)
A plane-wave DFT calculation with PBE-GGA was carried out for a relaxed structure of Ac2TbAu6.

It has space group P6/mmm (No. 191), with a = 8.3560 Å, b = 8.3560 Å, c = 3.7349 Å, α = 90.00°, β = 90.00° and γ = 120.00°. The distinct sites, in fractional coordinates, are Ac at (0.3333, 0.6667, 0.0000), Tb at (0.0000, 0.0000, 0.0000) and Au at (0.0000, 0.3295, 0.5000).

For the formation energy, the calculation gives -0.77 eV/atom. The value obtained for the density of states at the Fermi level is 6.6 states/eV per cell. The uncorrected energy comes out at -39.47 eV per cell.

(21)
A plane-wave DFT calculation with PBE-GGA was carried out for a relaxed structure of AcTbAu4.

It has space group P-1 (No. 2), with a = 3.744 Å, b = 4.969 Å, c = 8.007 Å, α = 83.23°, β = 89.43° and γ = 89.10°. The distinct sites, in fractional coordinates, are Ac at (0.000, 0.000, 0.000), Tb at (0.000, 0.500, 0.500), Au at (0.492, 0.949, 0.338) and Au at (0.499, 0.520, 0.820).

For the energy above the most stable polymorph in this dataset, the calculation gives 0 meV/atom. For the formation energy, the calculation gives -0.77 eV/atom. The value obtained for the density of states at the Fermi level is 2.4 states/eV per cell. The uncorrected energy comes out at -26.49 eV per cell.

(22)
A plane-wave DFT calculation with PBE-GGA was carried out for a relaxed structure of AcTbAu2.

It has space group P4/mmm (No. 123), with a = 3.729 Å, b = 3.729 Å, c = 7.624 Å, α = 90.00°, β = 90.00° and γ = 90.00°. The distinct sites, in fractional coordinates, are Ac at (0.000, 0.000, 0.000), Tb at (0.000, 0.000, 0.500) and Au at (0.500, 0.500, 0.286).

For the energy above the most stable polymorph in this dataset, the calculation gives 26 meV/atom. For the formation energy, the calculation gives -0.80 eV/atom. The value obtained for the density of states at the Fermi level is 1.6 states/eV per cell. The uncorrected energy comes out at -18.50 eV per cell.